Record 1
# PBE BaBe3V, relaxed
data_BaBe3V
_chemical_formula_sum 'Ba1 Be3 V1'
_symmetry_space_group_name_H-M 'P m -3 m'
_symmetry_Int_Tables_number 221
_symmetry_space_group_name_Hall '-P 4 2 3'
_cell_length_a 5.050
_cell_length_b 5.050
_cell_length_c 5.050
_cell_angle_alpha 90.00
_cell_angle_beta 90.00
_cell_angle_gamma 90.00
loop_
_atom_site_label
_atom_site_type_symbol
_atom_site_fract_x
_atom_site_fract_y
_atom_site_fract_z
Ba1 Ba 0.000 0.000 0.000
Be1 Be 0.000 0.000 0.500
V1 V 0.500 0.500 0.500
# **E_form**: 2.491 eV per atom
# **Energy above the lowest structure with this stoichiometry**: 155.1 kJ per mole of atoms

Record 2
First-principles (PBE) data for a relaxed structure of Cu3H7Ir, as listed in the Alexandria database.

```
data_Cu3H7Ir
_chemical_formula_sum 'Cu6 H14 Ir2'
_symmetry_space_group_name_H-M 'C 1 m 1'
_symmetry_Int_Tables_number 8
_cell_length_a 7.556
_cell_length_b 5.344
_cell_length_c 4.610
_cell_angle_alpha 90.00
_cell_angle_beta 107.49
_cell_angle_gamma 90.00
loop_
_symmetry_equiv_pos_as_xyz
'x,y,z'
'x,-y,z'
'x+1/2,y+1/2,z'
'x+1/2,-y+1/2,z'
loop_
_atom_site_label
_atom_site_type_symbol
_atom_site_fract_x
_atom_site_fract_y
_atom_site_fract_z
Cu1 Cu 0.000 0.000 0.000
Cu2 Cu 0.045 0.238 0.517
H1 H 0.183 0.218 0.254
H2 H 0.250 0.500 0.807
H3 H 0.365 0.500 0.300
H4 H 0.460 0.000 0.248
H5 H 0.465 0.204 0.819
Ir1 Ir 0.125 0.500 0.062
```

Record 3
# PBE ScFe2Mo, relaxed
data_ScFe2Mo
_chemical_formula_sum 'Sc2 Fe4 Mo2'
_symmetry_space_group_name_H-M 'I m m 2'
_symmetry_Int_Tables_number 44
_cell_length_a 2.976
_cell_length_b 4.332
_cell_length_c 8.975
_cell_angle_alpha 90.00
_cell_angle_beta 90.00
_cell_angle_gamma 90.00
loop_
_symmetry_equiv_pos_as_xyz
'x,y,z'
'-x,-y,z'
'-x,y,z'
'x,-y,z'
'x+1/2,y+1/2,z+1/2'
'-x+1/2,-y+1/2,z+1/2'
'-x+1/2,y+1/2,z+1/2'
'x+1/2,-y+1/2,z+1/2'
loop_
_atom_site_label
_atom_site_type_symbol
_atom_site_fract_x
_atom_site_fract_y
_atom_site_fract_z
Sc1 Sc 0.000 0.000 0.000
Fe1 Fe 0.000 0.000 0.494
Fe2 Fe 0.000 0.500 0.769
Mo1 Mo 0.000 0.500 0.228
# **E_form**: 0.106 eV per atom

no.,energy (eV per atom)
1,-1.953
2,-3.943
3,-8.416